No. 1
# GGA-PBE CePr5Cd6, optimized geometry
data_CePr5Cd6
_chemical_formula_sum 'Ce2 Pr10 Cd12'
_symmetry_space_group_name_H-M 'C 1 2/m 1'
_symmetry_Int_Tables_number 12
_symmetry_space_group_name_Hall '-C 2y'
_cell_length_a 9.4994
_cell_length_b 16.4119
_cell_length_c 5.4703
_cell_angle_alpha 90.00
_cell_angle_beta 125.10
_cell_angle_gamma 90.00
loop_
_atom_site_label
_atom_site_type_symbol
_atom_site_fract_x
_atom_site_fract_y
_atom_site_fract_z
_atom_site_occupancy
Ce1 Ce 0.0000 0.0000 0.0000 1
Pr1 Pr 0.0000 0.1648 0.5000 1
Pr2 Pr 0.0000 0.3329 0.0000 1
Pr3 Pr 0.0000 0.5000 0.5000 1
Cd1 Cd 0.2493 0.5000 0.2493 1
Cd2 Cd 0.2502 0.1668 0.2503 1
# - Energy of formation from the pure elements: -0.28 eV/atom

=====

No. 2
# GGA-PBE Ba2Zn2ClF7, optimized geometry
data_Ba2Zn2ClF7
_chemical_formula_sum 'Ba4 Zn4 Cl2 F14'
_symmetry_space_group_name_H-M 'P 1 21/m 1'
_symmetry_Int_Tables_number 11
_symmetry_space_group_name_Hall '-P 2yb'
_cell_length_a 7.8312
_cell_length_b 5.8906
_cell_length_c 9.0421
_cell_angle_alpha 90.00
_cell_angle_beta 106.88
_cell_angle_gamma 90.00
loop_
_atom_site_label
_atom_site_type_symbol
_atom_site_fract_x
_atom_site_fract_y
_atom_site_fract_z
_atom_site_occupancy
Ba1 Ba 0.1654 0.2500 0.4113 1
Ba2 Ba 0.1988 0.2500 0.9267 1
Zn1 Zn 0.3167 0.7500 0.1744 1
Zn2 Zn 0.3280 0.7500 0.7328 1
Cl1 Cl 0.3830 0.7500 0.4707 1
F1 F 0.1286 0.5073 0.1604 1
F2 F 0.1391 0.5018 0.6542 1
F3 F 0.2466 0.7500 0.9329 1
F4 F 0.4933 0.0025 0.1710 1
# - Raw formation energy: -2956 meV/atom

=====

No. 3
# GGA-PBE RbSnTe4Au2, optimized geometry
data_RbSnTe4Au2
_chemical_formula_sum 'Rb2 Sn2 Te8 Au4'
_symmetry_space_group_name_H-M 'I 2 2 2'
_symmetry_Int_Tables_number 23
_symmetry_space_group_name_Hall 'I 2 2'
_cell_length_a 7.5595
_cell_length_b 8.0678
_cell_length_c 9.3066
_cell_angle_alpha 90.00
_cell_angle_beta 90.00
_cell_angle_gamma 90.00
loop_
_atom_site_label
_atom_site_type_symbol
_atom_site_fract_x
_atom_site_fract_y
_atom_site_fract_z
_atom_site_occupancy
Rb1 Rb 0.0000 0.0000 0.0000 1
Sn1 Sn 0.0000 0.0000 0.5000 1
Te1 Te 0.2174 0.2005 0.3304 1
Au1 Au 0.0000 0.5000 0.1625 1
# - Raw formation energy: -264 meV/atom

=====

No. 4
# GGA-PBE Li2Ga3Au, optimized geometry
data_Li2Ga3Au
_chemical_formula_sum 'Li2 Ga3 Au1'
_symmetry_space_group_name_H-M 'P m m 2'
_symmetry_Int_Tables_number 25
_symmetry_space_group_name_Hall 'P 2 -2'
_cell_length_a 2.9887
_cell_length_b 4.4444
_cell_length_c 7.7148
_cell_angle_alpha 90.00
_cell_angle_beta 90.00
_cell_angle_gamma 90.00
loop_
_atom_site_label
_atom_site_type_symbol
_atom_site_fract_x
_atom_site_fract_y
_atom_site_fract_z
_atom_site_occupancy
Li1 Li 0.0000 0.0000 0.0000 1
Li2 Li 0.0000 0.5000 0.4784 1
Ga1 Ga 0.5000 0.0000 0.6587 1
Ga2 Ga 0.5000 0.5000 0.1548 1
Ga3 Ga 0.5000 0.5000 0.8253 1
Au1 Au 0.5000 0.0000 0.3235 1
# - Energy of formation from the pure elements: -0.36 eV/atom

=====

No. 5
# GGA-PBE LaCe2Dy3Er6, optimized geometry
data_LaCe2Dy3Er6
_chemical_formula_sum 'La2 Ce4 Dy6 Er12'
_symmetry_space_group_name_H-M 'C 1 2/m 1'
_symmetry_Int_Tables_number 12
_symmetry_space_group_name_Hall '-C 2y'
_cell_length_a 6.1222
_cell_length_b 10.6030
_cell_length_c 11.6756
_cell_angle_alpha 90.00
_cell_angle_beta 100.07
_cell_angle_gamma 90.00
loop_
_atom_site_label
_atom_site_type_symbol
_atom_site_fract_x
_atom_site_fract_y
_atom_site_fract_z
_atom_site_occupancy
La1 La 0.0000 0.0000 0.0000 1
Ce1 Ce 0.0000 0.3333 0.0000 1
Dy1 Dy 0.0000 0.1665 0.5000 1
Dy2 Dy 0.0000 0.5000 0.5000 1
Er1 Er 0.2472 0.3317 0.7491 1
Er2 Er 0.2479 0.5000 0.2508 1
# - Energy of formation from the pure elements: 0.05 eV/atom

=====

No. 6
# GGA-PBE Ta4SbAu, optimized geometry
data_Ta4SbAu
_chemical_formula_sum 'Ta16 Sb4 Au4'
_symmetry_space_group_name_H-M 'F -4 3 m'
_symmetry_Int_Tables_number 216
_symmetry_space_group_name_Hall 'F -4 2 3'
_cell_length_a 7.8064
_cell_length_b 7.8064
_cell_length_c 7.8064
_cell_angle_alpha 90.00
_cell_angle_beta 90.00
_cell_angle_gamma 90.00
loop_
_atom_site_label
_atom_site_type_symbol
_atom_site_fract_x
_atom_site_fract_y
_atom_site_fract_z
_atom_site_occupancy
Ta1 Ta 0.1252 0.1252 0.1252 1
Sb1 Sb 0.0000 0.0000 0.5000 1
Au1 Au 0.2500 0.2500 0.7500 1
# - Raw formation energy: 434 meV/atom

=====

No. 7
# GGA-PBE BaRe2P, optimized geometry
data_BaRe2P
_chemical_formula_sum 'Ba1 Re2 P1'
_symmetry_space_group_name_H-M 'P 4 m m'
_symmetry_Int_Tables_number 99
_symmetry_space_group_name_Hall 'P 4 -2'
_cell_length_a 3.2461
_cell_length_b 3.2461
_cell_length_c 7.6373
_cell_angle_alpha 90.00
_cell_angle_beta 90.00
_cell_angle_gamma 90.00
loop_
_atom_site_label
_atom_site_type_symbol
_atom_site_fract_x
_atom_site_fract_y
_atom_site_fract_z
_atom_site_occupancy
Ba1 Ba 0.0000 0.0000 0.0000 1
Re1 Re 0.0000 0.0000 0.4848 1
Re2 Re 0.5000 0.5000 0.6569 1
P1 P 0.5000 0.5000 0.3213 1
# - Energy of formation from the pure elements: 0.31 eV/atom

=====

No. 8
# GGA-PBE Li2CaTbAu4, optimized geometry
data_Li2CaTbAu4
_chemical_formula_sum 'Li6 Ca3 Tb3 Au12'
_symmetry_space_group_name_H-M 'R -3 m'
_symmetry_Int_Tables_number 166
_symmetry_space_group_name_Hall '-R 3 2"'
_cell_length_a 4.6124
_cell_length_b 4.6124
_cell_length_c 27.3506
_cell_angle_alpha 90.00
_cell_angle_beta 90.00
_cell_angle_gamma 120.00
loop_
_atom_site_label
_atom_site_type_symbol
_atom_site_fract_x
_atom_site_fract_y
_atom_site_fract_z
_atom_site_occupancy
Li1 Li 0.0000 0.0000 0.2499 1
Ca1 Ca 0.0000 0.0000 0.0000 1
Tb1 Tb 0.0000 0.0000 0.5000 1
Au1 Au 0.0000 0.0000 0.1131 1
Au2 Au 0.0000 0.0000 0.3915 1
# - Energy of formation from the pure elements: -0.68 eV/atom

=====

No. 9
# GGA-PBE PmThOs, optimized geometry
data_PmThOs
_chemical_formula_sum 'Pm2 Th2 Os2'
_symmetry_space_group_name_H-M 'P 1 21/m 1'
_symmetry_Int_Tables_number 11
_symmetry_space_group_name_Hall '-P 2yb'
_cell_length_a 5.4651
_cell_length_b 4.5374
_cell_length_c 7.3281
_cell_angle_alpha 90.00
_cell_angle_beta 106.06
_cell_angle_gamma 90.00
loop_
_atom_site_label
_atom_site_type_symbol
_atom_site_fract_x
_atom_site_fract_y
_atom_site_fract_z
_atom_site_occupancy
Pm1 Pm 0.2435 0.2500 0.4376 1
Th1 Th 0.2346 0.2500 0.9426 1
Os1 Os 0.3101 0.7500 0.2019 1
# - Energy of formation from the pure elements: -0.21 eV/atom

=====

No. 10
# GGA-PBE PaAgN2, optimized geometry
data_PaAgN2
_chemical_formula_sum 'Pa1 Ag1 N2'
_symmetry_space_group_name_H-M 'P 4/m m m'
_symmetry_Int_Tables_number 123
_symmetry_space_group_name_Hall '-P 4 2'
_cell_length_a 3.2460
_cell_length_b 3.2460
_cell_length_c 7.0218
_cell_angle_alpha 90.00
_cell_angle_beta 90.00
_cell_angle_gamma 90.00
loop_
_atom_site_label
_atom_site_type_symbol
_atom_site_fract_x
_atom_site_fract_y
_atom_site_fract_z
_atom_site_occupancy
Pa1 Pa 0.0000 0.0000 0.0000 1
Ag1 Ag 0.0000 0.0000 0.5000 1
N1 N 0.5000 0.5000 0.1045 1
# - Raw formation energy: -312 meV/atom

=====

No. 11
# GGA-PBE NaAlO, optimized geometry
data_NaAlO
_chemical_formula_sum 'Na4 Al4 O4'
_symmetry_space_group_name_H-M 'C 1 2/m 1'
_symmetry_Int_Tables_number 12
_symmetry_space_group_name_Hall '-C 2y'
_cell_length_a 11.5495
_cell_length_b 3.0143
_cell_length_c 7.8547
_cell_angle_alpha 90.00
_cell_angle_beta 130.55
_cell_angle_gamma 90.00
loop_
_atom_site_label
_atom_site_type_symbol
_atom_site_fract_x
_atom_site_fract_y
_atom_site_fract_z
_atom_site_occupancy
Na1 Na 0.0790 0.0000 0.2963 1
Al1 Al 0.2391 0.0000 0.8363 1
O1 O 0.1377 0.5000 0.8401 1
# - Raw formation energy: -1402 meV/atom

=====

No. 12
# GGA-PBE TaFeMo2, optimized geometry
data_TaFeMo2
_chemical_formula_sum 'Ta2 Fe2 Mo4'
_symmetry_space_group_name_H-M 'I 4/m m m'
_symmetry_Int_Tables_number 139
_symmetry_space_group_name_Hall '-I 4 2'
_cell_length_a 3.7146
_cell_length_b 3.7146
_cell_length_c 8.9281
_cell_angle_alpha 90.00
_cell_angle_beta 90.00
_cell_angle_gamma 90.00
loop_
_atom_site_label
_atom_site_type_symbol
_atom_site_fract_x
_atom_site_fract_y
_atom_site_fract_z
_atom_site_occupancy
Ta1 Ta 0.0000 0.0000 0.0000 1
Fe1 Fe 0.0000 0.0000 0.5000 1
Mo1 Mo 0.0000 0.5000 0.2500 1
# - Energy of formation from the pure elements: 0.21 eV/atom

=====

Record order is preserved below.
M_tot: 6.665, 0.000, 0.000, 0.000, 3.560, 0.000, 0.000, 0.000, 0.000, 0.000, 0.000, 1.063 μB/cell
Record order is preserved below.
Final energy: -3.226, -4.735, -3.275, -3.054, -4.782, -8.701, -7.749, -3.631, -8.006, -7.562, -4.742, -10.283 eV/atom